A plane-wave DFT calculation with PBE-GGA was carried out for a relaxed structure of HgAu3.

SG = R-3m, No. 166
Final energy = -29.49 eV for the cell shown
Spin magnetization = 0.00 μB/f.u.
DFT formation energy = 0.076 eV/atom

abc: 3.045 3.045 28.764
angles: 90.00 90.00 120.00
Sites, in units of the cell vectors:
1 Hg 0.000 0.000 0.000
2 Hg 0.333 0.667 0.667
3 Hg 0.667 0.333 0.333
4 Au 0.000 0.000 0.247
5 Au 0.000 0.000 0.500
6 Au 0.000 0.000 0.753
7 Au 0.333 0.667 0.167
8 Au 0.333 0.667 0.420
9 Au 0.333 0.667 0.913
10 Au 0.667 0.333 0.087
11 Au 0.667 0.333 0.580
12 Au 0.667 0.333 0.833